[1]
Here is a relaxed Mn2ZnCl crystal from Alexandria via LeMat-Bulk. Energies are from PBEsol.

The value obtained for the energy above the most stable polymorph in this dataset is 0.348 eV per atom. For the density of states at the Fermi level, the calculation gives 7.3 states/eV/cell. As for the raw formation energy: 0.5328 eV/atom.

It has space group Fm-3m (No. 225), with a = 6.145 Å, b = 6.145 Å, c = 6.145 Å, α = 90.00°, β = 90.00° and γ = 90.00°. The inequivalent atoms are Mn at (0.250, 0.250, 0.250), Zn at (0.000, 0.000, 0.000) and Cl at (0.000, 0.000, 0.500).

=====

[2]
Here is a relaxed Mn2ZnCl crystal from Alexandria via LeMat-Bulk. Energies are from PBEsol.

The value obtained for the energy above the most stable polymorph in this dataset is 0.243 eV per atom. For the density of states at the Fermi level, the calculation gives 3.2 states/eV/cell. As for the raw formation energy: 0.4273 eV/atom.

It has space group P4/mmm (No. 123), with a = 4.583 Å, b = 4.583 Å, c = 2.866 Å, α = 90.00°, β = 90.00° and γ = 90.00°. The inequivalent atoms are Mn at (0.000, 0.500, 0.000), Zn at (0.000, 0.000, 0.500) and Cl at (0.500, 0.500, 0.500).

=====

[3]
Here is a relaxed MnZn2Cl crystal from Alexandria via LeMat-Bulk. Energies are from PBEsol.

The value obtained for the energy above the most stable polymorph in this dataset is 0.000 eV per atom. For the density of states at the Fermi level, the calculation gives 3.7 states/eV/cell. As for the raw formation energy: 0.1488 eV/atom.

It has space group C2/m (No. 12), with a = 11.526 Å, b = 2.871 Å, c = 4.160 Å, α = 90.00°, β = 109.97° and γ = 90.00°. The inequivalent atoms are Mn at (0.000, 0.000, 0.000), Zn at (0.219, 0.500, 0.221) and Cl at (0.000, 0.500, 0.500).